# AgBiTe3Pd PBE optimized geometry
# Total energy = -3.7727 eV per atom
data_AgBiTe3Pd
_space_group_name_H-M_alt 'P 21 21 21'
_space_group_IT_number 19
_space_group_name_Hall 'P 2ac 2ab'
_cell_length_a 5.3689
_cell_length_b 8.8753
_cell_length_c 14.7912
_cell_angle_alpha 90.00
_cell_angle_beta 90.00
_cell_angle_gamma 90.00
loop_
_atom_site_label
_atom_site_type_symbol
_atom_site_fract_x
_atom_site_fract_y
_atom_site_fract_z
Ag1 Ag 0.0513 0.0858 0.4557
Bi1 Bi 0.1207 0.1183 0.1511
Te1 Te 0.2141 0.1767 0.9131
Te2 Te 0.2327 0.3975 0.6994
Te3 Te 0.2411 0.3639 0.4002
Pd1 Pd 0.0174 0.6539 0.7456